Record 1
VASP calculation (PBE-GGA) on Mg2BeBr after structural relaxation.

```
data_Mg2BeBr
_chemical_formula_sum 'Mg2 Be1 Br1'
_space_group_name_H-M_alt 'P 1'
_space_group_IT_number 1
_cell_length_a 5.275
_cell_length_b 5.275
_cell_length_c 5.275
_cell_angle_alpha 130.70
_cell_angle_beta 130.70
_cell_angle_gamma 72.28
loop_
_space_group_symop_operation_xyz
'x,y,z'
loop_
_atom_site_label
_atom_site_fract_x
_atom_site_fract_y
_atom_site_fract_z
Be1 0.250 0.750 0.500
Mg1 0.500 0.500 0.000
Br1 0.750 0.250 0.500
Mg2 0.000 0.000 0.000
```

Final energy = -0.133 Ry/atom
Formation energy (no corrections) = 0.33 eV/atom
Energy above the lowest structure with this stoichiometry = 0.457 eV per atom

=====

Record 2
VASP calculation (PBE-GGA) on Mg2BeBr after structural relaxation.

```
data_Mg2BeBr
_chemical_formula_sum 'Mg2 Be1 Br1'
_space_group_name_H-M_alt 'P 1'
_space_group_IT_number 1
_cell_length_a 6.340
_cell_length_b 5.100
_cell_length_c 3.351
_cell_angle_alpha 81.47
_cell_angle_beta 73.16
_cell_angle_gamma 121.76
loop_
_space_group_symop_operation_xyz
'x,y,z'
loop_
_atom_site_label
_atom_site_fract_x
_atom_site_fract_y
_atom_site_fract_z
Mg1 0.500 0.000 0.500
Mg2 0.000 0.000 0.000
Be1 0.000 0.500 0.500
Br1 0.500 0.500 0.000
```

Final energy = -0.145 Ry/atom
Formation energy (no corrections) = 0.18 eV/atom
Energy above the lowest structure with this stoichiometry = 0.304 eV per atom

=====

Record 3
VASP calculation (PBE-GGA) on MgBe2Br after structural relaxation.

```
data_MgBe2Br
_chemical_formula_sum 'Mg1 Be2 Br1'
_space_group_name_H-M_alt 'P 1'
_space_group_IT_number 1
_cell_length_a 3.304
_cell_length_b 3.304
_cell_length_c 7.905
_cell_angle_alpha 90.00
_cell_angle_beta 90.00
_cell_angle_gamma 120.21
loop_
_space_group_symop_operation_xyz
'x,y,z'
loop_
_atom_site_label
_atom_site_fract_x
_atom_site_fract_y
_atom_site_fract_z
Be1 0.000 0.000 0.038
Br1 0.000 0.000 0.440
Be2 0.500 0.500 0.232
Mg1 0.500 0.500 0.790
```

Final energy = -0.164 Ry/atom
Formation energy (no corrections) = 0.45 eV/atom
Energy above the lowest structure with this stoichiometry = 0.322 eV per atom

=====

Record 4
VASP calculation (PBE-GGA) on MgBe2Br after structural relaxation.

```
data_MgBe2Br
_chemical_formula_sum 'Mg1 Be2 Br1'
_space_group_name_H-M_alt 'P 1'
_space_group_IT_number 1
_cell_length_a 7.663
_cell_length_b 7.663
_cell_length_c 7.663
_cell_angle_alpha 24.54
_cell_angle_beta 24.54
_cell_angle_gamma 24.54
loop_
_space_group_symop_operation_xyz
'x,y,z'
loop_
_atom_site_label
_atom_site_fract_x
_atom_site_fract_y
_atom_site_fract_z
Be1 0.005 0.005 0.005
Be2 0.495 0.495 0.495
Br1 0.750 0.750 0.750
Mg1 0.250 0.250 0.250
```

Final energy = -0.158 Ry/atom
Formation energy (no corrections) = 0.53 eV/atom
Energy above the lowest structure with this stoichiometry = 0.406 eV per atom

=====

Record 5
VASP calculation (PBE-GGA) on MgBeBr2 after structural relaxation.

```
data_MgBeBr2
_chemical_formula_sum 'Mg1 Be1 Br2'
_space_group_name_H-M_alt 'P 1'
_space_group_IT_number 1
_cell_length_a 6.589
_cell_length_b 6.589
_cell_length_c 6.589
_cell_angle_alpha 150.16
_cell_angle_beta 98.86
_cell_angle_gamma 88.78
loop_
_space_group_symop_operation_xyz
'x,y,z'
loop_
_atom_site_label
_atom_site_fract_x
_atom_site_fract_y
_atom_site_fract_z
Br1 0.095 0.095 0.000
Mg1 0.477 0.477 0.000
Br2 0.684 0.184 0.500
Be1 0.245 0.745 0.500
```

Final energy = -0.190 Ry/atom
Formation energy (no corrections) = -0.41 eV/atom
Energy above the lowest structure with this stoichiometry = 0.125 eV per atom

=====

Record 6
VASP calculation (PBE-GGA) on MgBeBr2 after structural relaxation.

```
data_MgBeBr2
_chemical_formula_sum 'Mg1 Be1 Br2'
_space_group_name_H-M_alt 'P 1'
_space_group_IT_number 1
_cell_length_a 5.128
_cell_length_b 5.128
_cell_length_c 5.088
_cell_angle_alpha 63.19
_cell_angle_beta 63.19
_cell_angle_gamma 95.10
loop_
_space_group_symop_operation_xyz
'x,y,z'
loop_
_atom_site_label
_atom_site_fract_x
_atom_site_fract_y
_atom_site_fract_z
Br1 0.500 0.500 0.000
Mg1 0.500 0.000 0.500
Be1 0.000 0.500 0.500
Br2 0.000 0.000 0.000
```

Final energy = -0.157 Ry/atom
Formation energy (no corrections) = 0.03 eV/atom
Energy above the lowest structure with this stoichiometry = 0.571 eV per atom

=====

Record 7
VASP calculation (PBE-GGA) on MgBe2Br after structural relaxation.

```
data_MgBe2Br
_chemical_formula_sum 'Mg1 Be2 Br1'
_space_group_name_H-M_alt 'P 1'
_space_group_IT_number 1
_cell_length_a 4.655
_cell_length_b 4.655
_cell_length_c 3.183
_cell_angle_alpha 90.00
_cell_angle_beta 90.00
_cell_angle_gamma 90.00
loop_
_space_group_symop_operation_xyz
'x,y,z'
loop_
_atom_site_label
_atom_site_fract_x
_atom_site_fract_y
_atom_site_fract_z
Br1 0.500 0.000 0.500
Mg1 0.000 0.500 0.500
Be1 0.000 0.000 0.000
Be2 0.500 0.500 0.000
```

Final energy = -0.138 Ry/atom
Formation energy (no corrections) = 0.81 eV/atom
Energy above the lowest structure with this stoichiometry = 0.684 eV per atom

=====

Record 8
VASP calculation (PBE-GGA) on Mg2BeBr after structural relaxation.

```
data_Mg2BeBr
_chemical_formula_sum 'Mg2 Be1 Br1'
_space_group_name_H-M_alt 'P 1'
_space_group_IT_number 1
_cell_length_a 8.091
_cell_length_b 8.091
_cell_length_c 8.091
_cell_angle_alpha 156.40
_cell_angle_beta 155.87
_cell_angle_gamma 34.01
loop_
_space_group_symop_operation_xyz
'x,y,z'
loop_
_atom_site_label
_atom_site_fract_x
_atom_site_fract_y
_atom_site_fract_z
Be1 0.551 0.551 0.000
Mg1 0.683 0.183 0.500
Br1 0.292 0.792 0.500
Mg2 0.974 0.974 0.000
```

Final energy = -0.160 Ry/atom
Formation energy (no corrections) = -0.03 eV/atom
Energy above the lowest structure with this stoichiometry = 0.097 eV per atom

=====

Record 9
VASP calculation (PBE-GGA) on MgBeBr2 after structural relaxation.

```
data_MgBeBr2
_chemical_formula_sum 'Mg1 Be1 Br2'
_space_group_name_H-M_alt 'P 1'
_space_group_IT_number 1
_cell_length_a 7.447
_cell_length_b 7.447
_cell_length_c 7.447
_cell_angle_alpha 143.50
_cell_angle_beta 153.80
_cell_angle_gamma 45.48
loop_
_space_group_symop_operation_xyz
'x,y,z'
loop_
_atom_site_label
_atom_site_fract_x
_atom_site_fract_y
_atom_site_fract_z
Be1 0.250 0.750 0.500
Br1 0.875 0.875 0.000
Mg1 0.750 0.250 0.500
Br2 0.625 0.625 0.000
```

Final energy = -0.185 Ry/atom
Formation energy (no corrections) = -0.35 eV/atom
Energy above the lowest structure with this stoichiometry = 0.190 eV per atom

=====

Record 10
VASP calculation (PBE-GGA) on MgBe2Br after structural relaxation.

```
data_MgBe2Br
_chemical_formula_sum 'Mg1 Be2 Br1'
_space_group_name_H-M_alt 'P 1'
_space_group_IT_number 1
_cell_length_a 4.718
_cell_length_b 4.718
_cell_length_c 4.718
_cell_angle_alpha 60.00
_cell_angle_beta 60.00
_cell_angle_gamma 60.00
loop_
_space_group_symop_operation_xyz
'x,y,z'
loop_
_atom_site_label
_atom_site_fract_x
_atom_site_fract_y
_atom_site_fract_z
Be1 0.750 0.750 0.750
Be2 0.250 0.250 0.250
Mg1 0.000 0.000 0.000
Br1 0.500 0.500 0.500
```

Final energy = -0.118 Ry/atom
Formation energy (no corrections) = 1.08 eV/atom
Energy above the lowest structure with this stoichiometry = 0.953 eV per atom

=====

Record 11
VASP calculation (PBE-GGA) on MgBeBr2 after structural relaxation.

```
data_MgBeBr2
_chemical_formula_sum 'Mg1 Be1 Br2'
_space_group_name_H-M_alt 'P 1'
_space_group_IT_number 1
_cell_length_a 3.568
_cell_length_b 4.901
_cell_length_c 4.901
_cell_angle_alpha 90.00
_cell_angle_beta 90.00
_cell_angle_gamma 90.00
loop_
_space_group_symop_operation_xyz
'x,y,z'
loop_
_atom_site_label
_atom_site_fract_x
_atom_site_fract_y
_atom_site_fract_z
Mg1 0.500 0.500 0.000
Br1 0.000 0.500 0.500
Br2 0.000 0.000 0.000
Be1 0.500 0.000 0.500
```

Final energy = -0.148 Ry/atom
Formation energy (no corrections) = 0.16 eV/atom
Energy above the lowest structure with this stoichiometry = 0.695 eV per atom

=====

Record 12
VASP calculation (PBE-GGA) on Mg2BeBr after structural relaxation.

```
data_Mg2BeBr
_chemical_formula_sum 'Mg2 Be1 Br1'
_space_group_name_H-M_alt 'P 1'
_space_group_IT_number 1
_cell_length_a 3.342
_cell_length_b 3.342
_cell_length_c 10.567
_cell_angle_alpha 90.00
_cell_angle_beta 90.00
_cell_angle_gamma 121.20
loop_
_space_group_symop_operation_xyz
'x,y,z'
loop_
_atom_site_label
_atom_site_fract_x
_atom_site_fract_y
_atom_site_fract_z
Mg1 0.000 0.000 0.047
Br1 0.500 0.500 0.644
Mg2 0.500 0.500 0.303
Be1 0.000 0.000 0.506
```

Final energy = -0.149 Ry/atom
Formation energy (no corrections) = 0.13 eV/atom
Energy above the lowest structure with this stoichiometry = 0.251 eV per atom

=====

Record 13
VASP calculation (PBE-GGA) on Mg2BeBr after structural relaxation.

```
data_Mg2BeBr
_chemical_formula_sum 'Mg2 Be1 Br1'
_space_group_name_H-M_alt 'P 1'
_space_group_IT_number 1
_cell_length_a 5.089
_cell_length_b 5.089
_cell_length_c 5.089
_cell_angle_alpha 60.00
_cell_angle_beta 60.00
_cell_angle_gamma 60.00
loop_
_space_group_symop_operation_xyz
'x,y,z'
loop_
_atom_site_label
_atom_site_fract_x
_atom_site_fract_y
_atom_site_fract_z
Br1 0.750 0.750 0.750
Mg1 0.250 0.250 0.250
Be1 0.500 0.500 0.500
Mg2 0.000 0.000 0.000
```

Final energy = -0.114 Ry/atom
Formation energy (no corrections) = 0.59 eV/atom
Energy above the lowest structure with this stoichiometry = 0.718 eV per atom

=====

Record 14
VASP calculation (PBE-GGA) on MgBe2Br after structural relaxation.

```
data_MgBe2Br
_chemical_formula_sum 'Mg1 Be2 Br1'
_space_group_name_H-M_alt 'P 1'
_space_group_IT_number 1
_cell_length_a 3.525
_cell_length_b 3.529
_cell_length_c 5.606
_cell_angle_alpha 90.00
_cell_angle_beta 90.00
_cell_angle_gamma 90.00
loop_
_space_group_symop_operation_xyz
'x,y,z'
loop_
_atom_site_label
_atom_site_fract_x
_atom_site_fract_y
_atom_site_fract_z
Be1 0.000 0.000 0.567
Mg1 0.500 0.500 0.750
Br1 0.500 0.500 0.250
Be2 0.000 0.000 0.933
```

Final energy = -0.153 Ry/atom
Formation energy (no corrections) = 0.60 eV/atom
Energy above the lowest structure with this stoichiometry = 0.473 eV per atom

=====

Record 15
VASP calculation (PBE-GGA) on Mg2BeBr after structural relaxation.

```
data_Mg2BeBr
_chemical_formula_sum 'Mg2 Be1 Br1'
_space_group_name_H-M_alt 'P 1'
_space_group_IT_number 1
_cell_length_a 3.262
_cell_length_b 3.271
_cell_length_c 7.677
_cell_angle_alpha 90.00
_cell_angle_beta 90.00
_cell_angle_gamma 90.00
loop_
_space_group_symop_operation_xyz
'x,y,z'
loop_
_atom_site_label
_atom_site_fract_x
_atom_site_fract_y
_atom_site_fract_z
Be1 0.500 0.250 0.250
Mg1 0.000 0.750 0.456
Mg2 0.000 0.750 0.044
Br1 0.500 0.750 0.750
```

Final energy = -0.165 Ry/atom
Formation energy (no corrections) = -0.10 eV/atom
Energy above the lowest structure with this stoichiometry = 0.024 eV per atom